1.
# Zr2Nb2N3 | Alexandria via LeMat-Bulk | PBE | optimized geometry
# * mass density: 7.37 g cm⁻³
# * volume: 13.2 Å³ per atom
# * ΔE_f (raw): -1.255 eV/atom
data_Zr2Nb2N3
_space_group_name_H-M_alt 'C 1 2/m 1'
_space_group_IT_number 12
_cell_length_a 10.581
_cell_length_b 3.222
_cell_length_c 5.605
_cell_angle_alpha 90.00
_cell_angle_beta 104.77
_cell_angle_gamma 90.00
loop_
_space_group_symop_operation_xyz
'x,y,z'
'-x,-y,-z'
'-x,y,-z'
'x,-y,z'
'x+1/2,y+1/2,z'
'-x+1/2,-y+1/2,-z'
'-x+1/2,y+1/2,-z'
'x+1/2,-y+1/2,z'
loop_
_atom_site_label
_atom_site_fract_x
_atom_site_fract_y
_atom_site_fract_z
Zr1 0.113 0.000 0.352
Nb1 0.146 0.500 0.870
N1 0.000 0.500 0.500
N2 0.249 0.500 0.268

2.
# RbAgSbPd | Alexandria via LeMat-Bulk | PBE | optimized geometry
# * mass density: 5.69 g cm⁻³
# * volume: 30.8 Å³ per atom
# * ΔE_f (raw): -0.165 eV/atom
data_RbAgSbPd
_space_group_name_H-M_alt 'P 4/n m m'
_space_group_IT_number 129
_cell_length_a 4.320
_cell_length_b 4.320
_cell_length_c 13.183
_cell_angle_alpha 90.00
_cell_angle_beta 90.00
_cell_angle_gamma 90.00
loop_
_space_group_symop_operation_xyz
'x,y,z'
'-x,-y,-z'
'-y+1/2,x,z'
'y+1/2,-x,-z'
'-x+1/2,-y+1/2,z'
'x+1/2,y+1/2,-z'
'y,-x+1/2,z'
'-y,x+1/2,-z'
'x+1/2,-y,-z'
'-x+1/2,y,z'
'-y,-x,-z'
'y,x,z'
'-x,y+1/2,-z'
'x,-y+1/2,z'
'y+1/2,x+1/2,-z'
'-y+1/2,-x+1/2,z'
loop_
_atom_site_label
_atom_site_fract_x
_atom_site_fract_y
_atom_site_fract_z
Rb1 0.250 0.250 0.227
Ag1 0.250 0.750 0.000
Sb1 0.250 0.250 0.615
Pd1 0.250 0.750 0.500

3.
# Cs2LiSeCl6 | Alexandria via LeMat-Bulk | PBE | optimized geometry
# * mass density: 3.22 g cm⁻³
# * volume: 29.1 Å³ per atom
# * ΔE to the lowest computed polymorph: 9 meV per atom
# * ΔE_f (raw): -1.204 eV/atom
data_Cs2LiSeCl6
_space_group_name_H-M_alt 'I 4/m m m'
_space_group_IT_number 139
_space_group_name_Hall '-I 4 2'
_cell_length_a 7.435
_cell_length_b 7.435
_cell_length_c 10.540
_cell_angle_alpha 90.00
_cell_angle_beta 90.00
_cell_angle_gamma 90.00
loop_
_atom_site_label
_atom_site_fract_x
_atom_site_fract_y
_atom_site_fract_z
Cs1 0.000 0.500 0.250
Li1 0.000 0.000 0.000
Se1 0.000 0.000 0.500
Cl1 0.000 0.000 0.272
Cl2 0.243 0.243 0.000